Compound: MgOs2
Source: Alexandria
Functional: GGA-PBE
Structure: optimized geometry

Size of the total moment: 0.00 μB/cell
DFT formation energy: 1524 meV per atom
Uncorrected energy: -6.494 eV/atom

a b c (Å): 4.5424 4.5424 2.5561
angles (deg): 90.00 90.00 90.00
Last column: nearest neighbours and their distance in Å.
Fractional positions:
1 Os 0.5000 0.0000 0.5000  2 Os 2.56, 4 Mg 2.61
2 Os 0.0000 0.5000 0.5000  2 Os 2.56, 4 Mg 2.61
3 Mg 0.0000 0.0000 0.0000  2 Mg 2.56, 8 Os 2.61